# 1
ScBi2Mo | PBE-GGA | optimized geometry

Unit cell a=4.998 b=4.998 c=4.998 alpha=60.00 beta=60.00 gamma=60.00
Fractional positions:
Bi (0.750, 0.750, 0.750)
Bi (0.250, 0.250, 0.250)
Mo (0.500, 0.500, 0.500)
Sc (0.000, 0.000, 0.000)

Magnetic moment (μB per cell): 0.0
Energy relative to the elements (eV/atom): 0.09
Calculated volume (Å³/atom): 22.1
SG: No. 225
Density of states at the Fermi level (states/eV per cell): 2.327

---

# 2
ScBi2Mo | PBE-GGA | optimized geometry

Unit cell a=6.288 b=6.288 c=8.452 alpha=68.16 beta=68.16 gamma=90.00
Fractional positions:
Bi (0.103, 0.625, 0.250)
Bi (0.375, 0.353, 0.750)
Bi (0.647, 0.125, 0.250)
Bi (0.875, 0.897, 0.750)
Sc (0.250, 0.750, 0.500)
Sc (0.500, 0.500, 0.000)
Mo (0.000, 0.000, 0.000)
Mo (0.750, 0.250, 0.500)

Magnetic moment (μB per cell): 6.0
Energy relative to the elements (eV/atom): 0.69
Calculated volume (Å³/atom): 35.5
SG: No. 122
Density of states at the Fermi level (states/eV per cell): 4.435

---

# 3
Sc2BiMo | PBE-GGA | optimized geometry

Unit cell a=4.331 b=4.331 c=10.423 alpha=78.01 beta=78.01 gamma=90.00
Fractional positions:
Sc (0.875, 0.865, 0.750)
Sc (0.375, 0.385, 0.750)
Sc (0.135, 0.625, 0.250)
Sc (0.615, 0.125, 0.250)
Bi (0.750, 0.250, 0.500)
Bi (0.000, 0.000, 0.000)
Mo (0.500, 0.500, 0.000)
Mo (0.250, 0.750, 0.500)

Magnetic moment (μB per cell): 1.3
Energy relative to the elements (eV/atom): 0.53
Calculated volume (Å³/atom): 23.4
SG: No. 122
Density of states at the Fermi level (states/eV per cell): 10.712

---

# 4
Sc2BiMo | PBE-GGA | optimized geometry

Unit cell a=10.201 b=10.201 c=10.201 alpha=19.03 beta=19.03 gamma=19.03
Fractional positions:
Sc (0.898, 0.898, 0.898)
Sc (0.102, 0.102, 0.102)
Bi (0.000, 0.000, 0.000)
Mo (0.500, 0.500, 0.500)

Magnetic moment (μB per cell): 0.0
Energy relative to the elements (eV/atom): 0.24
Calculated volume (Å³/atom): 24.6
SG: No. 166
Density of states at the Fermi level (states/eV per cell): 6.450

---

# 5
ScBiMo3 | PBE-GGA | optimized geometry

Unit cell a=4.752 b=4.752 c=4.752 alpha=90.00 beta=90.00 gamma=90.00
Fractional positions:
Sc (0.000, 0.000, 0.000)
Mo (0.000, 0.000, 0.500)
Mo (0.500, 0.000, 0.000)
Mo (0.000, 0.500, 0.000)
Bi (0.500, 0.500, 0.500)

Magnetic moment (μB per cell): 1.9
Energy relative to the elements (eV/atom): 1.80
Calculated volume (Å³/atom): 21.5
SG: No. 221
Density of states at the Fermi level (states/eV per cell): 9.902

---

# 6
ScBiMo3 | PBE-GGA | optimized geometry

Unit cell a=5.013 b=5.013 c=5.013 alpha=90.00 beta=90.00 gamma=90.00
Fractional positions:
Sc (0.500, 0.500, 0.500)
Mo (0.000, 0.500, 0.000)
Mo (0.000, 0.000, 0.500)
Mo (0.500, 0.000, 0.000)
Bi (0.000, 0.000, 0.000)

Magnetic moment (μB per cell): 0.0
Energy relative to the elements (eV/atom): 2.02
Calculated volume (Å³/atom): 25.2
SG: No. 221
Density of states at the Fermi level (states/eV per cell): 7.589

---

# 7
ScV2BiMo | PBE-GGA | optimized geometry

Unit cell a=4.559 b=4.789 c=4.559 alpha=90.00 beta=90.00 gamma=90.00
Fractional positions:
Bi (0.500, 0.500, 0.500)
V (0.000, 0.000, 0.500)
V (0.500, 0.000, 0.000)
Sc (0.000, 0.000, 0.000)
Mo (0.000, 0.500, 0.000)

Magnetic moment (μB per cell): 0.0
Energy relative to the elements (eV/atom): 1.56
Calculated volume (Å³/atom): 19.9
SG: No. 123
Density of states at the Fermi level (states/eV per cell): 7.736

---

# 8
BiMo2Se | PBE-GGA | optimized geometry

Unit cell a=4.448 b=4.448 c=9.350 alpha=76.24 beta=76.24 gamma=90.00
Fractional positions:
Bi (0.000, 0.000, 0.000)
Bi (0.750, 0.250, 0.500)
Se (0.250, 0.750, 0.500)
Se (0.500, 0.500, 0.000)
Mo (0.875, 0.781, 0.750)
Mo (0.219, 0.625, 0.250)
Mo (0.531, 0.125, 0.250)
Mo (0.375, 0.469, 0.750)

Magnetic moment (μB per cell): 0.0
Calculated volume (Å³/atom): 21.8
Formation energy (no corrections) (eV/atom): 0.637
SG: No. 122
Density of states at the Fermi level (states/eV per cell): 6.911

---

Question: Which of these has the highest magnetic moment?
Answer: number 2

---

Question: The lowest calculated volume belongs to which entry?
Answer: ScV2BiMo